(1)
# Pu2Hf2O7

Pu2Hf2O7 after structural relaxation (GGA-PBE, Alexandria via LeMat-Bulk).

The space group is Fd-3m (No. 227, origin choice 2) and the conventional cell measures 10.639, 10.639 and 10.639 Å, with angles of 90.00, 90.00 and 90.00 degrees. The asymmetric unit holds Pu at (0.000, 0.000, 0.000), Hf at (0.000, 0.000, 0.500), O at (0.084, 0.375, 0.875) and O at (0.125, 0.125, 0.125).

As for the magnetization: 10.0 μB per formula unit. The calculation puts the formation energy (no corrections) at -3.326 eV per atom. Its crystal system is cubic. The density of states at the Fermi level comes out at 80.80 states/eV/cell.


(2)
# BaBeInHg2

BaBeInHg2 after structural relaxation (GGA-PBE, Alexandria via LeMat-Bulk).

The space group is P4/mmm (No. 123) and the conventional cell measures 5.118, 5.118 and 5.100 Å, with angles of 90.00, 90.00 and 90.00 degrees. The asymmetric unit holds Ba at (0.000, 0.000, 0.000), Be at (0.500, 0.500, 0.500), In at (0.500, 0.500, 0.000) and Hg at (0.000, 0.500, 0.500).

As for the magnetization: 0.0 μB per formula unit. The value obtained for the total DFT energy (no corrections) is -9.5 eV per cell. Its crystal system is tetragonal. The density of states at the Fermi level comes out at 3.30 states/eV/cell.


(3)
# Ta5NbGa6

Ta5NbGa6 after structural relaxation (GGA-PBE, Alexandria via LeMat-Bulk).

The space group is C2/m (No. 12) and the conventional cell measures 6.435, 11.066 and 6.439 Å, with angles of 90.00, 109.22 and 90.00 degrees. The asymmetric unit holds Ta at (0.000, 0.000, 0.000), Ta at (0.000, 0.167, 0.500), Ta at (0.000, 0.334, 0.000), Nb at (0.000, 0.500, 0.500), Ga at (0.250, 0.000, 0.750) and Ga at (0.250, 0.167, 0.250).

As for the magnetization: 0.0 μB per formula unit. The value obtained for the total DFT energy (no corrections) is -170.3 eV per cell. Its crystal system is monoclinic. The density of states at the Fermi level comes out at 10.04 states/eV/cell.


(4)
# CdGaP2S

CdGaP2S after structural relaxation (GGA-PBE, Alexandria via LeMat-Bulk).

The space group is P4/mmm (No. 123) and the conventional cell measures 4.726, 4.726 and 4.796 Å, with angles of 90.00, 90.00 and 90.00 degrees. The asymmetric unit holds Cd at (0.000, 0.000, 0.000), Ga at (0.500, 0.500, 0.500), P at (0.000, 0.500, 0.500) and S at (0.500, 0.500, 0.000).

As for the magnetization: 0.6 μB per formula unit. The calculation puts the formation energy (no corrections) at 0.693 eV per atom. Its crystal system is tetragonal. Its energy above the lowest structure with this stoichiometry is 0 meV per atom. The density of states at the Fermi level comes out at 4.87 states/eV/cell.


(5)
# CaPaNiRu

CaPaNiRu after structural relaxation (GGA-PBE, Alexandria via LeMat-Bulk).

The space group is F-43m (No. 216) and the conventional cell measures 6.771, 6.771 and 6.771 Å, with angles of 90.00, 90.00 and 90.00 degrees. The asymmetric unit holds Ca at (0.000, 0.000, 0.000), Pa at (0.000, 0.000, 0.500), Ni at (0.250, 0.250, 0.750) and Ru at (0.250, 0.250, 0.250).

As for the magnetization: 0.0 μB per formula unit. The value obtained for the total DFT energy (no corrections) is -107.9 eV per cell. Its crystal system is cubic. The density of states at the Fermi level comes out at 12.44 states/eV/cell.


(6)
# Pr6GeS4

Pr6GeS4 after structural relaxation (GGA-PBE, Alexandria via LeMat-Bulk).

The space group is Cmcm (No. 63) and the conventional cell measures 4.143, 13.499 and 20.823 Å, with angles of 90.00, 90.00 and 90.00 degrees. The asymmetric unit holds Pr at (0.000, 0.000, 0.000), Pr at (0.000, 0.174, 0.250), Pr at (0.000, 0.274, 0.583), Pr at (0.000, 0.451, 0.164), Ge at (0.000, 0.164, 0.750), S at (0.000, 0.091, 0.125) and S at (0.000, 0.363, 0.041).

As for the magnetization: 0.6 μB per formula unit. The calculation puts the formation energy (no corrections) at -1.635 eV per atom. Its crystal system is orthorhombic. The density of states at the Fermi level comes out at 25.55 states/eV/cell.


(7)
# Th2BeFeIr6

Th2BeFeIr6 after structural relaxation (GGA-PBE, Alexandria via LeMat-Bulk).

The space group is Fm-3m (No. 225) and the conventional cell measures 8.913, 8.913 and 8.913 Å, with angles of 90.00, 90.00 and 90.00 degrees. The asymmetric unit holds Th at (0.250, 0.250, 0.250), Be at (0.000, 0.000, 0.000), Fe at (0.000, 0.000, 0.500) and Ir at (0.000, 0.000, 0.236).

As for the magnetization: 4.0 μB per formula unit. The value obtained for the total DFT energy (no corrections) is -330.7 eV per cell. Its crystal system is cubic. The density of states at the Fermi level comes out at 31.39 states/eV/cell.


(8)
# InHg3C

InHg3C after structural relaxation (GGA-PBE, Alexandria via LeMat-Bulk).

The space group is Pm-3m (No. 221) and the conventional cell measures 4.898, 4.898 and 4.898 Å, with angles of 90.00, 90.00 and 90.00 degrees. The asymmetric unit holds In at (0.000, 0.000, 0.000), Hg at (0.000, 0.500, 0.500) and C at (0.500, 0.500, 0.500).

As for the magnetization: 0.0 μB per formula unit. Its crystal system is cubic. Its energy above the lowest structure with this stoichiometry is 0 meV per atom. The density of states at the Fermi level comes out at 2.08 states/eV/cell.


(9)
# Tb4Pr3Ag

Tb4Pr3Ag after structural relaxation (GGA-PBE, Alexandria via LeMat-Bulk).

The space group is P4/mmm (No. 123) and the conventional cell measures 3.639, 3.639 and 19.195 Å, with angles of 90.00, 90.00 and 90.00 degrees. The asymmetric unit holds Tb at (0.000, 0.000, 0.096), Tb at (0.000, 0.000, 0.366), Pr at (0.500, 0.500, 0.232), Pr at (0.500, 0.500, 0.500) and Ag at (0.500, 0.500, 0.000).

As for the magnetization: 0.0 μB per formula unit. The value obtained for the total DFT energy (no corrections) is -36.2 eV per cell. Its crystal system is tetragonal. The density of states at the Fermi level comes out at 10.85 states/eV/cell.


(10)
# Pr5NdAg4

Pr5NdAg4 after structural relaxation (GGA-PBE, Alexandria via LeMat-Bulk).

The space group is P4/mmm (No. 123) and the conventional cell measures 3.752, 3.752 and 20.492 Å, with angles of 90.00, 90.00 and 90.00 degrees. The asymmetric unit holds Pr at (0.000, 0.000, 0.000), Pr at (0.000, 0.000, 0.188), Pr at (0.000, 0.000, 0.375), Nd at (0.500, 0.500, 0.500), Ag at (0.500, 0.500, 0.094) and Ag at (0.500, 0.500, 0.281).

As for the magnetization: 0.0 μB per formula unit. The value obtained for the total DFT energy (no corrections) is -42.0 eV per cell. Its crystal system is tetragonal. The density of states at the Fermi level comes out at 10.12 states/eV/cell.


(11)
# Sm4Dy19Ho6

Sm4Dy19Ho6 after structural relaxation (GGA-PBE, Alexandria via LeMat-Bulk).

The space group is I23 (No. 197) and the conventional cell measures 12.443, 12.443 and 12.443 Å, with angles of 90.00, 90.00 and 90.00 degrees. The asymmetric unit holds Sm at (0.180, 0.180, 0.820), Dy at (0.000, 0.000, 0.000), Dy at (0.000, 0.000, 0.262), Dy at (0.062, 0.264, 0.278) and Ho at (0.000, 0.374, 0.500).

As for the magnetization: 0.0 μB per formula unit. The value obtained for the total DFT energy (no corrections) is -244.9 eV per cell. Its crystal system is cubic. The density of states at the Fermi level comes out at 86.79 states/eV/cell.


(12)
# CeZn4Cu2

CeZn4Cu2 after structural relaxation (GGA-PBE, Alexandria via LeMat-Bulk).

The space group is C2/m (No. 12) and the conventional cell measures 8.379, 6.665 and 5.098 Å, with angles of 90.00, 127.33 and 90.00 degrees. The asymmetric unit holds Ce at (0.000, 0.000, 0.000), Zn at (0.192, 0.192, 0.692) and Cu at (0.000, 0.500, 0.250).

As for the magnetization: 0.6 μB per formula unit. The value obtained for the total DFT energy (no corrections) is -40.9 eV per cell. Its crystal system is monoclinic. The density of states at the Fermi level comes out at 12.32 states/eV/cell.